First-principles (GGA-PBE) data for crystalline Rb2YMoBr6 at its relaxed geometry, as listed in Alexandria via LeMat-Bulk.

Formation energy from raw total energies ... -1.13 eV/atom
Calculated total energy ... -4.059 eV per atom
DOS at the Fermi energy ... 6.1 states/eV/cell

abc: 7.702 7.702 7.701
angles: 59.99 59.99 90.00
Last column: magnetic moment on the atom in μB.
Atoms (fractional coordinates):
Br 0.757 0.243 0.000  0.01
Br 0.243 0.757 0.000  0.01
Br 0.243 0.243 0.514  0.01
Br 0.243 0.243 0.000  0.01
Br 0.757 0.757 0.486  0.01
Br 0.757 0.757 0.000  0.01
Mo 0.000 0.000 0.000  1.01
Y 0.500 0.500 0.000  -0.14
Rb 0.250 0.750 0.500  0.00
Rb 0.750 0.250 0.500  0.00

First-principles (GGA-PBE) data for crystalline RbY2MoBr at its relaxed geometry, as listed in Alexandria via LeMat-Bulk.

Formation energy from raw total energies ... 1.74 eV/atom
Calculated total energy ... -3.544 eV per atom
DOS at the Fermi energy ... 5.7 states/eV/cell

abc: 5.854 5.594 5.854
angles: 90.00 90.00 90.00
Last column: magnetic moment on the atom in μB.
Atoms (fractional coordinates):
Y 0.000 0.000 0.500  -0.25
Y 0.500 0.000 0.000  -0.12
Br 0.000 0.500 0.000  0.05
Mo 0.500 0.500 0.500  3.55
Rb 0.000 0.000 0.000  -0.04

First-principles (GGA-PBE) data for crystalline Rb2ZnMoBr6 at its relaxed geometry, as listed in Alexandria via LeMat-Bulk.

Formation energy from raw total energies ... -0.94 eV/atom
Calculated total energy ... -3.349 eV per atom
DOS at the Fermi energy ... 1.4 states/eV/cell

abc: 7.658 7.658 7.682
angles: 60.10 60.10 90.00
Last column: magnetic moment on the atom in μB.
Atoms (fractional coordinates):
Br 0.755 0.755 0.000  0.03
Br 0.757 0.757 0.486  0.03
Br 0.755 0.245 0.000  0.03
Br 0.245 0.245 0.000  0.03
Br 0.245 0.755 0.000  0.03
Br 0.243 0.243 0.514  0.03
Zn 0.500 0.500 0.000  0.20
Rb 0.250 0.750 0.500  0.00
Rb 0.750 0.250 0.500  0.00
Mo 0.000 0.000 0.000  2.77

First-principles (GGA-PBE) data for crystalline ReMoBr2 at its relaxed geometry, as listed in Alexandria via LeMat-Bulk.

Formation energy from raw total energies ... 1.30 eV/atom
Calculated total energy ... -5.356 eV per atom
E above lowest polymorph ... 1165 meV/atom
DOS at the Fermi energy ... 4.4 states/eV/cell

abc: 3.156 3.156 9.102
angles: 90.00 90.00 124.37
Last column: magnetic moment on the atom in μB.
Atoms (fractional coordinates):
Mo 0.500 0.500 0.250  0.91
Br 0.000 0.000 0.494  0.03
Br 0.000 0.000 0.006  0.03
Re 0.500 0.500 0.750  1.02

First-principles (GGA-PBE) data for crystalline Re2MoBr at its relaxed geometry, as listed in Alexandria via LeMat-Bulk.

Formation energy from raw total energies ... 0.79 eV/atom
Calculated total energy ... -8.565 eV per atom
E above lowest polymorph ... 189 meV/atom
DOS at the Fermi energy ... 2.5 states/eV/cell

abc: 3.085 3.085 6.876
angles: 90.00 90.00 90.00
Atoms (fractional coordinates):
Br 0.500 0.500 0.250
Re 0.000 0.000 0.523
Re 0.000 0.000 0.977
Mo 0.500 0.500 0.750

First-principles (GGA-PBE) data for crystalline ReMo2Br at its relaxed geometry, as listed in Alexandria via LeMat-Bulk.

Formation energy from raw total energies ... 1.31 eV/atom
Calculated total energy ... -7.637 eV per atom
E above lowest polymorph ... 903 meV/atom
DOS at the Fermi energy ... 3.2 states/eV/cell

abc: 4.502 3.813 3.813
angles: 90.00 90.00 90.00
Atoms (fractional coordinates):
Re 0.500 0.500 0.000
Mo 0.000 0.000 0.000
Mo 0.000 0.500 0.500
Br 0.500 0.000 0.500

First-principles (GGA-PBE) data for crystalline Re2MoBr at its relaxed geometry, as listed in Alexandria via LeMat-Bulk.

Formation energy from raw total energies ... 0.79 eV/atom
Calculated total energy ... -8.559 eV per atom
E above lowest polymorph ... 195 meV/atom
DOS at the Fermi energy ... 3.5 states/eV/cell

abc: 5.292 5.292 4.419
angles: 86.76 86.76 32.53
Atoms (fractional coordinates):
Mo 0.250 0.250 0.250
Re 0.534 0.534 0.468
Re 0.966 0.966 0.032
Br 0.750 0.750 0.750

First-principles (GGA-PBE) data for crystalline ReMoBr at its relaxed geometry, as listed in Alexandria via LeMat-Bulk.

Formation energy from raw total energies ... 1.15 eV/atom
Calculated total energy ... -7.165 eV per atom
E above lowest polymorph ... 652 meV/atom
DOS at the Fermi energy ... 1.5 states/eV/cell

abc: 4.331 4.331 4.331
angles: 60.00 60.00 60.00
Atoms (fractional coordinates):
Re 0.750 0.750 0.750
Br 0.000 0.000 0.000
Mo 0.500 0.500 0.500

First-principles (GGA-PBE) data for crystalline ReMoBr2 at its relaxed geometry, as listed in Alexandria via LeMat-Bulk.

Formation energy from raw total energies ... 0.96 eV/atom
Calculated total energy ... -5.693 eV per atom
E above lowest polymorph ... 828 meV/atom
DOS at the Fermi energy ... 4.5 states/eV/cell

abc: 8.878 8.878 8.878
angles: 20.13 20.13 20.13
Atoms (fractional coordinates):
Br 0.093 0.093 0.093
Br 0.907 0.907 0.907
Re 0.000 0.000 0.000
Mo 0.500 0.500 0.500

First-principles (GGA-PBE) data for crystalline ReMo2Br at its relaxed geometry, as listed in Alexandria via LeMat-Bulk.

Formation energy from raw total energies ... 0.59 eV/atom
Calculated total energy ... -8.352 eV per atom
E above lowest polymorph ... 188 meV/atom
DOS at the Fermi energy ... 2.1 states/eV/cell

abc: 3.067 3.067 7.034
angles: 90.00 90.00 90.00
Atoms (fractional coordinates):
Mo 0.500 0.500 0.258
Mo 0.000 0.000 0.009
Br 0.500 0.500 0.763
Re 0.000 0.000 0.471

First-principles (GGA-PBE) data for crystalline ReMoBr2 at its relaxed geometry, as listed in Alexandria via LeMat-Bulk.

Formation energy from raw total energies ... 0.75 eV/atom
Calculated total energy ... -5.906 eV per atom
E above lowest polymorph ... 616 meV/atom
DOS at the Fermi energy ... 3.4 states/eV/cell

abc: 7.673 7.673 7.673
angles: 155.68 148.17 40.46
Last column: magnetic moment on the atom in μB.
Atoms (fractional coordinates):
Mo 0.250 0.750 0.500  1.17
Br 0.895 0.895 0.000  0.04
Br 0.605 0.605 0.000  0.04
Re 0.750 0.250 0.500  -0.19

First-principles (GGA-PBE) data for crystalline ReMoBr at its relaxed geometry, as listed in Alexandria via LeMat-Bulk.

Formation energy from raw total energies ... 0.76 eV/atom
Calculated total energy ... -7.559 eV per atom
E above lowest polymorph ... 258 meV/atom
DOS at the Fermi energy ... 1.6 states/eV/cell

abc: 7.308 7.002 3.049
angles: 83.39 72.12 24.49
Atoms (fractional coordinates):
Br 0.007 0.007 0.993
Re 0.314 0.314 0.686
Mo 0.679 0.679 0.321